(1)
11
Lattice="-3.879 -0.610 1.745 -2.038 -3.886 -5.889 3.110 -3.378 5.732" Properties=species:S:1:pos:R:3 comment="TbTm2F8 PBE optimized geometry" e_form_raw_ev_per_fu=-42.3 energy_ev_per_atom=-6.437 total_magnetization_mub_per_fu=0.0 pbc="T T T"
Tb -1.939 -0.305 0.872
Tm -3.059 -4.147 -0.784
Tm 0.252 -3.727 2.372
F -1.698 -4.033 3.250
F -1.109 -3.840 -1.661
F -0.484 -2.003 1.489
F -2.324 -5.871 0.099
F -2.847 -2.323 0.176
F 0.040 -5.551 1.412
F 1.035 -3.652 4.289
F -3.843 -4.221 -2.700

(2)
12
Lattice="-1.880 -7.483 -1.835 3.699 -0.280 -2.649 4.230 -2.578 6.178" Properties=species:S:1:pos:R:3 comment="LaZrCu PBE optimized geometry" relative_energy_mev_per_atom=38.9 formation_energy_ev_per_atom=-0.011 energy_ev_per_atom=-5.868 total_magnetization_mub_per_fu=0.0 pbc="T T T"
Cu 1.039 -6.991 0.228
Cu 5.169 -7.762 2.153
Cu 5.009 -3.350 1.465
Cu 0.880 -2.579 -0.460
Zr 2.488 -2.170 1.742
Zr 6.012 -5.350 3.077
Zr 3.561 -8.171 -0.049
Zr 0.036 -4.991 -1.383
La 4.435 -2.481 4.493
La 3.348 -4.602 -0.722
La 1.613 -7.860 -2.800
La 2.701 -5.739 2.416

(3)
5
Lattice="5.464 0.000 0.000 0.000 5.464 0.000 0.000 0.000 5.464" Properties=species:S:1:pos:R:3 comment="Y3MoI PBE optimized geometry" e_form_raw_ev_per_fu=1.5 relative_energy_mev_per_atom=0.0 energy_ev_per_atom=-6.064 total_magnetization_mub_per_fu=0.0 pbc="T T T"
I 2.732 2.732 2.732
Y 0.000 2.732 0.000
Y 0.000 0.000 2.732
Y 2.732 0.000 0.000
Mo 0.000 0.000 0.000

(4)
8
Lattice="-1.414 -0.324 4.171 0.694 -4.647 -0.125 11.122 1.559 3.837" Properties=species:S:1:pos:R:3 comment="TlCd2Br PBE optimized geometry" e_form_raw_ev_per_fu=-1.2 relative_energy_mev_per_atom=11.1 energy_ev_per_atom=-1.755 total_magnetization_mub_per_fu=0.0 pbc="T T T"
Tl -0.691 -2.562 3.025
Tl 6.947 0.880 5.879
Br -0.332 -0.077 1.002
Br 8.017 -1.280 3.736
Cd 3.905 0.454 4.827
Cd 5.209 -1.673 2.766
Cd 2.350 -2.136 4.097
Cd 2.466 0.315 1.990

(5)
12
Lattice="-6.842 -1.755 -3.214 4.124 -5.503 3.595 -2.887 4.212 6.968" Properties=species:S:1:pos:R:3 comment="K3Dy2TmTe6 PBE optimized geometry" e_form_raw_ev_per_fu=-16.7 energy_ev_per_atom=-4.373 total_magnetization_mub_per_fu=0.0 pbc="T T T"
K 0.845 -2.770 5.939
K -6.449 -0.277 1.410
K -2.802 -1.523 3.674
Dy 0.467 -4.253 1.324
Dy -3.184 -3.005 -0.943
Tm 0.000 0.000 0.000
Te -6.181 -1.600 4.688
Te -2.607 -4.488 1.729
Te 0.577 -1.447 2.660
Te -2.556 -2.839 6.940
Te -2.997 1.441 5.620
Te -3.048 -0.208 0.409

(6)
6
Lattice="3.615 0.000 0.000 -1.807 7.322 0.451 0.000 -3.275 5.523" Properties=species:S:1:pos:R:3 comment="TiTeS4 PBE optimized geometry" e_form_raw_ev_per_fu=-3.5 energy_ev_per_atom=-5.177 total_magnetization_mub_per_fu=0.0 pbc="T T T"
Ti 1.807 -1.637 2.761
Te 0.000 0.000 0.000
S 0.000 5.433 0.771
S 0.000 0.052 2.620
S 1.807 -1.386 5.204
S 1.807 3.995 3.355

(7)
5
Lattice="-4.017 4.017 4.017 4.017 -4.017 4.017 4.017 4.017 -4.017" Properties=species:S:1:pos:R:3 comment="Ba4Ta PBE optimized geometry" relative_energy_mev_per_atom=97.2 formation_energy_ev_per_atom=0.867 energy_ev_per_atom=-3.042 total_magnetization_mub_per_fu=0.0 pbc="T T T"
Ba -2.008 2.008 2.008
Ba 2.008 2.008 2.008
Ba 2.008 2.008 -2.008
Ba 2.008 -2.008 2.008
Ta 0.000 0.000 0.000

(8)
11
Lattice="-0.738 2.443 -3.602 -7.335 3.210 3.681 8.239 3.131 3.141" Properties=species:S:1:pos:R:3 comment="Pr3Sc4Sn4 PBE optimized geometry" formation_energy_ev_per_atom=-0.600 energy_ev_per_atom=-5.662 total_magnetization_mub_per_fu=3.0 pbc="T T T"
Pr 0.952 1.350 0.721
Pr -0.786 7.434 2.499
Pr -3.668 1.605 1.840
Sc 4.159 3.249 1.352
Sc -1.140 4.286 0.436
Sc -3.993 5.535 1.868
Sc 1.306 4.498 2.784
Sn -1.726 4.357 3.310
Sn 1.892 4.427 -0.090
Sn -6.157 3.754 1.103
Sn -1.916 1.899 -1.024

(9)
4
Lattice="5.150 0.000 0.000 2.575 4.460 0.000 2.575 1.487 4.205" Properties=species:S:1:pos:R:3 comment="SmMgCd2 PBE optimized geometry" relative_energy_mev_per_atom=0.0 formation_energy_ev_per_atom=-0.326 energy_ev_per_atom=-2.362 total_magnetization_mub_per_fu=0.0 pbc="T T T"
Mg 0.000 0.000 0.000
Sm 5.150 2.974 2.103
Cd 7.726 4.460 3.154
Cd 2.575 1.487 1.051

(10)
12
Lattice="8.602 0.232 0.000 2.644 8.209 0.000 1.322 4.104 7.446" Properties=species:S:1:pos:R:3 comment="TlIn5I6 PBE optimized geometry" e_form_raw_ev_per_fu=-5.9 energy_ev_per_atom=-2.603 total_magnetization_mub_per_fu=0.0 pbc="T T T"
Tl 0.000 0.000 0.000
In 5.623 4.220 4.983
In 1.322 4.104 2.487
In 5.623 4.220 0.000
In 2.644 8.209 4.959
In 6.945 8.325 2.463
I 7.102 2.239 2.499
I 4.143 6.201 2.499
I 2.820 2.130 0.000
I 8.425 6.311 0.000
I 8.424 6.343 4.947
I 5.465 10.306 4.947

(11)
11
Lattice="-0.414 -2.002 -2.749 -3.477 -6.226 2.924 -7.663 -0.645 -0.512" Properties=species:S:1:pos:R:3 comment="Ti7Si2P2 PBE optimized geometry" e_form_raw_ev_per_fu=-8.9 energy_ev_per_atom=-7.804 total_magnetization_mub_per_fu=0.0 pbc="T T T"
Ti -2.847 -2.210 -2.231
Ti -8.462 -4.956 -1.521
Ti -7.801 -1.738 -1.829
Ti -4.007 -4.458 -0.419
Ti -6.624 -5.645 0.840
Ti -9.710 -5.325 1.071
Ti -4.890 -1.520 -0.291
Si -4.461 -4.914 2.116
Si -6.402 -3.603 -0.681
P -8.487 -7.212 0.126
P -2.353 -2.613 0.123

(12)
4
Lattice="0.000 3.125 3.125 3.125 0.000 3.125 3.125 3.125 0.000" Properties=species:S:1:pos:R:3 comment="ScMnV2 PBE optimized geometry" relative_energy_mev_per_atom=0.0 formation_energy_ev_per_atom=0.200 energy_ev_per_atom=-8.234 total_magnetization_mub_per_fu=2.4 pbc="T T T"
Sc 0.000 0.000 0.000
Mn 3.125 3.125 3.125
V 1.563 1.563 1.563
V 4.688 4.688 4.688

Question: What is the formula in the ninth record?
Answer: SmMgCd2